Entry 1:
Crystalline ZnBi at its relaxed geometry, computed with PBE.

Unit cell a=5.5779 b=5.4021 c=8.7195 alpha=90.00 beta=108.48 gamma=90.00
Space group Pm (No. 6)
Unique sites:
1 Zn 0.0000 0.0000 0.0000
2 Zn 0.0344 0.5000 0.8112
3 Zn 0.4129 0.0000 0.8286
4 Zn 0.6377 0.5000 0.0167
5 Zn 0.8356 0.5000 0.4142
6 Bi 0.2011 0.5000 0.1648
7 Bi 0.2019 0.0000 0.4140
8 Bi 0.4504 0.5000 0.6628
9 Bi 0.6035 0.0000 0.1761
10 Bi 0.8416 0.0000 0.6526

Entry 2:
Crystalline Zn2Bi at its relaxed geometry, computed with PBE.

Unit cell a=3.5140 b=13.8122 c=5.4495 alpha=90.00 beta=90.00 gamma=90.00
Space group Cmcm (No. 63)
Unique sites:
1 Zn 0.0000 0.0631 0.2500
2 Zn 0.0000 0.2917 0.7500
3 Bi 0.0000 0.3807 0.2500

Entry 3:
Crystalline ZnBi at its relaxed geometry, computed with PBE.

Unit cell a=5.8419 b=5.8419 c=5.8419 alpha=90.00 beta=90.00 gamma=90.00
Space group Fm-3m (No. 225)
Unique sites:
1 Zn 0.0000 0.0000 0.0000
2 Bi 0.0000 0.0000 0.5000

Entry 4:
Crystalline ZnBi at its relaxed geometry, computed with PBE.

Unit cell a=5.5380 b=6.7500 c=10.4382 alpha=90.00 beta=90.00 gamma=90.00
Space group Pmmn (No. 59, origin choice 2)
Unique sites:
1 Zn 0.2500 0.0569 0.0715
2 Zn 0.2500 0.2500 0.3098
3 Zn 0.2500 0.2500 0.8530
4 Bi 0.2500 0.5008 0.5833
5 Bi 0.2500 0.7500 0.2579
6 Bi 0.2500 0.7500 0.8711

Entry 5:
Crystalline ZnBi at its relaxed geometry, computed with PBE.

Unit cell a=6.4417 b=5.3434 c=8.6632 alpha=90.00 beta=98.14 gamma=90.00
Space group P2_1/m (No. 11)
Unique sites:
1 Zn 0.0232 0.2500 0.4197
2 Zn 0.2785 0.2500 0.6865
3 Zn 0.4352 0.2500 0.4254
4 Bi 0.1705 0.2500 0.0273
5 Bi 0.2117 0.7500 0.3081
6 Bi 0.3298 0.7500 0.8323

Entry 6:
Crystalline ZnBi at its relaxed geometry, computed with PBE.

Unit cell a=7.0139 b=5.1002 c=8.4190 alpha=90.00 beta=98.31 gamma=90.00
Space group P2_1/m (No. 11)
Unique sites:
1 Zn 0.1428 0.2500 0.1367
2 Zn 0.1509 0.7500 0.7168
3 Zn 0.2185 0.7500 0.0340
4 Bi 0.0808 0.7500 0.3455
5 Bi 0.3574 0.2500 0.8739
6 Bi 0.4869 0.2500 0.3886

Number 1: uncorrected energy -2.4635 eV per atom. Number 2: uncorrected energy -2.0333 eV per atom. Number 3: uncorrected energy -2.4922 eV per atom. Number 4: uncorrected energy -2.5092 eV per atom. Number 5: uncorrected energy -2.5228 eV per atom. Number 6: uncorrected energy -2.5424 eV per atom.